Entry 1:
# CaMgAg3, optimized geometry, DFT PBE-GGA
data_CaMgAg3
_cell_length_a 5.3918
_cell_length_b 5.3918
_cell_length_c 5.3918
_cell_angle_alpha 90.00
_cell_angle_beta 90.00
_cell_angle_gamma 90.00
_symmetry_space_group_name_H-M 'P m -3 m'
_symmetry_Int_Tables_number 221
_symmetry_space_group_name_Hall '-P 4 2 3'
loop_
_atom_site_label
_atom_site_type_symbol
_atom_site_fract_x
_atom_site_fract_y
_atom_site_fract_z
_atom_site_occupancy
Ca1 Ca 0.0000 0.0000 0.0000 1
Mg1 Mg 0.5000 0.5000 0.5000 1
Ag1 Ag 0.0000 0.0000 0.5000 1
# Total DFT energy (no corrections) = -8.5 eV per cell
# Mass density = 4.11 Mg/m³
# N(E_F) = 2.5 states/eV/f.u.
# Energy relative to the elements = 0.73 eV per atom

=====

Entry 2:
# Ge2Sb2Au, optimized geometry, DFT PBE-GGA
data_Ge2Sb2Au
_cell_length_a 5.5305
_cell_length_b 5.5305
_cell_length_c 7.9206
_cell_angle_alpha 90.00
_cell_angle_beta 90.00
_cell_angle_gamma 90.00
_symmetry_space_group_name_H-M 'I 4/m m m'
_symmetry_Int_Tables_number 139
_symmetry_space_group_name_Hall '-I 4 2'
loop_
_atom_site_label
_atom_site_type_symbol
_atom_site_fract_x
_atom_site_fract_y
_atom_site_fract_z
_atom_site_occupancy
Ge1 Ge 0.0000 0.0000 0.1657 1
Sb1 Sb 0.0000 0.5000 0.2500 1
Au1 Au 0.0000 0.0000 0.5000 1
# Total DFT energy (no corrections) = -39.2 eV per cell
# Mass density = 8.03 Mg/m³
# N(E_F) = 2.1 states/eV/f.u.

=====

Entry 3:
# SrLaMn2, optimized geometry, DFT PBE-GGA
data_SrLaMn2
_cell_length_a 4.5900
_cell_length_b 4.5900
_cell_length_c 10.0858
_cell_angle_alpha 90.00
_cell_angle_beta 90.00
_cell_angle_gamma 90.00
_symmetry_space_group_name_H-M 'I -4 m 2'
_symmetry_Int_Tables_number 119
_symmetry_space_group_name_Hall 'I -4 -2'
loop_
_atom_site_label
_atom_site_type_symbol
_atom_site_fract_x
_atom_site_fract_y
_atom_site_fract_z
_atom_site_occupancy
Sr1 Sr 0.0000 0.0000 0.0000 1
La1 La 0.0000 0.5000 0.7500 1
Mn1 Mn 0.0000 0.0000 0.5000 1
Mn2 Mn 0.0000 0.5000 0.2500 1
# Total DFT energy (no corrections) = -44.9 eV per cell
# Mass density = 5.26 Mg/m³
# N(E_F) = 5.6 states/eV/f.u.
# Energy relative to the elements = 0.62 eV per atom

=====

Entry 4:
# NaMn3Re, optimized geometry, DFT PBE-GGA
data_NaMn3Re
_cell_length_a 4.8074
_cell_length_b 4.8074
_cell_length_c 4.8074
_cell_angle_alpha 90.00
_cell_angle_beta 90.00
_cell_angle_gamma 90.00
_symmetry_space_group_name_H-M 'P m -3 m'
_symmetry_Int_Tables_number 221
_symmetry_space_group_name_Hall '-P 4 2 3'
loop_
_atom_site_label
_atom_site_type_symbol
_atom_site_fract_x
_atom_site_fract_y
_atom_site_fract_z
_atom_site_occupancy
Na1 Na 0.0000 0.0000 0.0000 1
Mn1 Mn 0.0000 0.5000 0.5000 1
Re1 Re 0.5000 0.5000 0.5000 1
# Total DFT energy (no corrections) = -35.9 eV per cell
# Mass density = 5.59 Mg/m³
# N(E_F) = 4.2 states/eV/f.u.
# Energy relative to the elements = 1.08 eV per atom

=====

Entry 5:
# PmHf2Nb, optimized geometry, DFT PBE-GGA
data_PmHf2Nb
_cell_length_a 3.1778
_cell_length_b 3.1778
_cell_length_c 33.1279
_cell_angle_alpha 90.00
_cell_angle_beta 90.00
_cell_angle_gamma 120.00
_symmetry_space_group_name_H-M 'R -3 m'
_symmetry_Int_Tables_number 166
_symmetry_space_group_name_Hall '-R 3 2"'
loop_
_atom_site_label
_atom_site_type_symbol
_atom_site_fract_x
_atom_site_fract_y
_atom_site_fract_z
_atom_site_occupancy
Pm1 Pm 0.0000 0.0000 0.0000 1
Hf1 Hf 0.0000 0.0000 0.0961 1
Nb1 Nb 0.0000 0.0000 0.5000 1
# Total DFT energy (no corrections) = -100.0 eV per cell
# Mass density = 10.23 Mg/m³
# N(E_F) = 5.5 states/eV/f.u.
# Energy relative to the elements = 0.35 eV per atom

=====

Entry 6:
# LiThPbN, optimized geometry, DFT PBE-GGA
data_LiThPbN
_cell_length_a 3.3699
_cell_length_b 3.3699
_cell_length_c 14.5203
_cell_angle_alpha 90.00
_cell_angle_beta 90.00
_cell_angle_gamma 90.00
_symmetry_space_group_name_H-M 'I 4 m m'
_symmetry_Int_Tables_number 107
_symmetry_space_group_name_Hall 'I 4 -2'
loop_
_atom_site_label
_atom_site_type_symbol
_atom_site_fract_x
_atom_site_fract_y
_atom_site_fract_z
_atom_site_occupancy
Li1 Li 0.0000 0.0000 0.0000 1
Th1 Th 0.0000 0.0000 0.6794 1
Pb1 Pb 0.0000 0.0000 0.3759 1
N1 N 0.0000 0.0000 0.1366 1
# Total DFT energy (no corrections) = -49.0 eV per cell
# Mass density = 9.27 Mg/m³
# N(E_F) = 0.5 states/eV/f.u.

=====

Entry 7:
# AlTlBMo2, optimized geometry, DFT PBE-GGA
data_AlTlBMo2
_cell_length_a 5.2444
_cell_length_b 5.2444
_cell_length_c 3.9779
_cell_angle_alpha 90.00
_cell_angle_beta 90.00
_cell_angle_gamma 90.00
_symmetry_space_group_name_H-M 'P 4/m m m'
_symmetry_Int_Tables_number 123
_symmetry_space_group_name_Hall '-P 4 2'
loop_
_atom_site_label
_atom_site_type_symbol
_atom_site_fract_x
_atom_site_fract_y
_atom_site_fract_z
_atom_site_occupancy
Al1 Al 0.0000 0.0000 0.0000 1
Tl1 Tl 0.5000 0.5000 0.5000 1
B1 B 0.5000 0.5000 0.0000 1
Mo1 Mo 0.0000 0.5000 0.5000 1
# Total DFT energy (no corrections) = -22.8 eV per cell
# Mass density = 6.59 Mg/m³
# N(E_F) = 3.5 states/eV/f.u.
# Energy relative to the elements = 2.34 eV per atom

=====

Entry 8:
# La2ZnHg, optimized geometry, DFT PBE-GGA
data_La2ZnHg
_cell_length_a 3.8703
_cell_length_b 5.4226
_cell_length_c 5.4286
_cell_angle_alpha 90.00
_cell_angle_beta 90.00
_cell_angle_gamma 90.00
_symmetry_space_group_name_H-M 'P m m 2'
_symmetry_Int_Tables_number 25
_symmetry_space_group_name_Hall 'P 2 -2'
loop_
_atom_site_label
_atom_site_type_symbol
_atom_site_fract_x
_atom_site_fract_y
_atom_site_fract_z
_atom_site_occupancy
La1 La 0.0000 0.0000 0.0000 1
La2 La 0.0000 0.5000 0.4940 1
Zn1 Zn 0.5000 0.5000 0.9924 1
Hg1 Hg 0.5000 0.0000 0.5024 1
# Total DFT energy (no corrections) = -13.0 eV per cell
# Mass density = 7.93 Mg/m³
# N(E_F) = 4.7 states/eV/f.u.
# Energy relative to the elements = -0.39 eV per atom

=====

Entry 9:
# CsCu3F, optimized geometry, DFT PBE-GGA
data_CsCu3F
_cell_length_a 4.6817
_cell_length_b 4.6817
_cell_length_c 4.6817
_cell_angle_alpha 90.00
_cell_angle_beta 90.00
_cell_angle_gamma 90.00
_symmetry_space_group_name_H-M 'P m -3 m'
_symmetry_Int_Tables_number 221
_symmetry_space_group_name_Hall '-P 4 2 3'
loop_
_atom_site_label
_atom_site_type_symbol
_atom_site_fract_x
_atom_site_fract_y
_atom_site_fract_z
_atom_site_occupancy
Cs1 Cs 0.0000 0.0000 0.0000 1
Cu1 Cu 0.0000 0.5000 0.5000 1
F1 F 0.5000 0.5000 0.5000 1
# Total DFT energy (no corrections) = -12.9 eV per cell
# Mass density = 5.54 Mg/m³
# N(E_F) = 2.1 states/eV/f.u.

=====

Entry 10:
# ZrPd6Pt, optimized geometry, DFT PBE-GGA
data_ZrPd6Pt
_cell_length_a 5.2687
_cell_length_b 5.2687
_cell_length_c 20.7125
_cell_angle_alpha 90.00
_cell_angle_beta 90.00
_cell_angle_gamma 120.00
_symmetry_space_group_name_H-M 'R -3 m'
_symmetry_Int_Tables_number 166
_symmetry_space_group_name_Hall '-R 3 2"'
loop_
_atom_site_label
_atom_site_type_symbol
_atom_site_fract_x
_atom_site_fract_y
_atom_site_fract_z
_atom_site_occupancy
Zr1 Zr 0.0000 0.0000 0.0000 1
Pd1 Pd 0.0047 0.5023 0.4353 1
Pt1 Pt 0.0000 0.0000 0.5000 1
# Total DFT energy (no corrections) = -132.0 eV per cell
# Mass density = 9.25 Mg/m³
# N(E_F) = 8.0 states/eV/f.u.
# Energy relative to the elements = 0.22 eV per atom

=====

Entry 11:
# LiSc2Pb, optimized geometry, DFT PBE-GGA
data_LiSc2Pb
_cell_length_a 3.6248
_cell_length_b 3.6248
_cell_length_c 6.7956
_cell_angle_alpha 90.00
_cell_angle_beta 90.00
_cell_angle_gamma 90.00
_symmetry_space_group_name_H-M 'P 4/m m m'
_symmetry_Int_Tables_number 123
_symmetry_space_group_name_Hall '-P 4 2'
loop_
_atom_site_label
_atom_site_type_symbol
_atom_site_fract_x
_atom_site_fract_y
_atom_site_fract_z
_atom_site_occupancy
Li1 Li 0.0000 0.0000 0.0000 1
Sc1 Sc 0.5000 0.5000 0.2302 1
Pb1 Pb 0.0000 0.0000 0.5000 1
# Total DFT energy (no corrections) = -18.8 eV per cell
# Mass density = 5.65 Mg/m³
# N(E_F) = 4.1 states/eV/f.u.
# Energy relative to the elements = -0.14 eV per atom

=====

Entry 12:
# Pr4TlIn5, optimized geometry, DFT PBE-GGA
data_Pr4TlIn5
_cell_length_a 7.3379
_cell_length_b 10.5886
_cell_length_c 8.0360
_cell_angle_alpha 90.00
_cell_angle_beta 90.00
_cell_angle_gamma 90.00
_symmetry_space_group_name_H-M 'P m m n'
_symmetry_Int_Tables_number 59
loop_
_symmetry_equiv_pos_as_xyz
'x,y,z'
'-x,-y,-z'
'-x+1/2,-y+1/2,z'
'x+1/2,y+1/2,-z'
'x+1/2,-y,-z'
'-x+1/2,y,z'
'-x,y+1/2,-z'
'x,-y+1/2,z'
loop_
_atom_site_label
_atom_site_type_symbol
_atom_site_fract_x
_atom_site_fract_y
_atom_site_fract_z
_atom_site_occupancy
Pr1 Pr 0.0078 0.2500 0.1916 1
Pr2 Pr 0.2500 0.5663 0.4891 1
Tl1 Tl 0.2500 0.2500 0.5443 1
In1 In 0.0493 0.0606 0.8307 1
In2 In 0.2500 0.7500 0.1377 1
# Total DFT energy (no corrections) = -74.0 eV per cell
# Mass density = 7.14 Mg/m³
# N(E_F) = 9.5 states/eV/f.u.
# Energy relative to the elements = -0.18 eV per atom

=====

Which value of N(E_F) does entry 6 give?
0.5 states/eV/f.u.